(1)
## TcHgPt2 (PBE-GGA)

Data for crystalline TcHgPt2 at its relaxed geometry.

```
8
Lattice="4.1055 0.0000 0.0000 0.0000 4.1055 0.0000 0.0000 0.0000 7.8119" Properties=species:S:1:pos:R:3 pbc="T T T"
Tc 0.0000 0.0000 0.0000
Tc 2.0527 2.0527 3.9059
Hg 0.0000 2.0527 5.8589
Hg 2.0527 0.0000 1.9530
Pt 0.0000 0.0000 3.9059
Pt 0.0000 2.0527 1.9530
Pt 2.0527 0.0000 5.8589
Pt 2.0527 2.0527 0.0000
```

Calculated values
energy of formation	1.0	eV/f.u.

(2)
## TcHgPt2 (PBE-GGA)

Data for crystalline TcHgPt2 at its relaxed geometry.

```
4
Lattice="2.8056 0.0000 0.0000 0.0000 4.6360 0.0000 0.0000 0.0000 5.0808" Properties=species:S:1:pos:R:3 pbc="T T T"
Tc 0.0000 0.0000 0.0000
Hg 0.0000 2.3180 3.3216
Pt 1.4028 0.0000 2.3752
Pt 1.4028 2.3180 0.7321
```

Calculated values
energy of formation	0.7	eV/f.u.

(3)
## TcHgPt2 (PBE-GGA)

Data for crystalline TcHgPt2 at its relaxed geometry.

```
8
Lattice="5.6975 0.0000 0.0000 0.0000 8.1784 0.0000 0.0000 0.0000 2.8199" Properties=species:S:1:pos:R:3 pbc="T T T"
Tc 0.0000 0.0000 0.0000
Tc 2.8487 4.0892 0.0000
Hg 0.0000 4.0892 0.0000
Hg 2.8487 0.0000 0.0000
Pt 1.4244 2.0446 1.4100
Pt 1.4244 6.1338 1.4100
Pt 4.2731 2.0446 1.4100
Pt 4.2731 6.1338 1.4100
```

Calculated values
energy of formation	0.7	eV/f.u.

(4)
## TcHgPt2 (PBE-GGA)

Data for crystalline TcHgPt2 at its relaxed geometry.

```
4
Lattice="2.8182 0.0000 0.0000 0.0000 2.8182 0.0000 0.0000 0.0000 8.3673" Properties=species:S:1:pos:R:3 pbc="T T T"
Tc 0.0000 0.0000 0.0000
Hg 0.0000 0.0000 4.1837
Pt 1.4091 1.4091 1.8639
Pt 1.4091 1.4091 6.5034
```

Calculated values
energy of formation	-0.2	eV/f.u.

(5)
## TcHgPt (PBE-GGA)

Data for crystalline TcHgPt at its relaxed geometry.

```
6
Lattice="2.8576 0.0000 0.0000 0.0000 2.8576 0.0000 0.0000 0.0000 12.4615" Properties=species:S:1:pos:R:3 pbc="T T T"
Tc 0.0000 0.0000 0.0000
Tc 1.4288 1.4288 6.2307
Hg 0.0000 0.0000 4.0333
Hg 1.4288 1.4288 10.2641
Pt 0.0000 0.0000 7.9789
Pt 1.4288 1.4288 1.7481
```

Calculated values
relative energy among the computed polymorphs	0.0	meV/atom
energy of formation	0.6	eV/f.u.

(6)
## Tc2HgPt2 (PBE-GGA)

Data for crystalline Tc2HgPt2 at its relaxed geometry.

```
10
Lattice="7.8956 0.0000 0.0000 0.0000 7.8956 0.0000 0.0000 0.0000 2.7169" Properties=species:S:1:pos:R:3 pbc="T T T"
Tc 1.3858 2.5620 0.0000
Tc 2.5620 6.5098 0.0000
Tc 5.3336 1.3858 0.0000
Tc 6.5098 5.3336 0.0000
Hg 0.0000 0.0000 1.3584
Hg 3.9478 3.9478 1.3584
Pt 0.9532 4.9010 1.3584
Pt 2.9946 0.9532 1.3584
Pt 4.9010 6.9424 1.3584
Pt 6.9424 2.9946 1.3584
```

Calculated values
energy of formation	1.5	eV/f.u.

(7)
## TcHgTe2Pt (PBE-GGA)

Data for crystalline TcHgTe2Pt at its relaxed geometry.

```
5
Lattice="5.0590 0.0000 0.0000 0.0000 5.0590 0.0000 0.0000 0.0000 5.2498" Properties=species:S:1:pos:R:3 pbc="T T T"
Tc 0.0000 0.0000 0.0000
Hg 0.0000 0.0000 2.6249
Te 0.0000 2.5295 0.0000
Te 2.5295 0.0000 0.0000
Pt 2.5295 2.5295 2.6249
```

Calculated values
uncorrected formation energy	4.274	eV/f.u.

(8)
## HgTe4Pt (PBE-GGA)

Data for crystalline HgTe4Pt at its relaxed geometry.

```
6
Lattice="0.0000 4.4192 4.4192 4.4192 0.0000 4.4192 4.4192 4.4192 0.0000" Properties=species:S:1:pos:R:3 pbc="T T T"
Hg 0.0000 0.0000 0.0000
Te 3.3272 3.3272 3.3272
Te 5.5113 5.5113 3.3272
Te 5.5113 3.3272 5.5113
Te 3.3272 5.5113 5.5113
Pt 6.6289 6.6289 6.6289
```

Calculated values
uncorrected formation energy	4.354	eV/f.u.

(9)
## HgTe2Pt2 (PBE-GGA)

Data for crystalline HgTe2Pt2 at its relaxed geometry.

```
10
Lattice="7.4606 0.0000 0.0000 0.0000 7.4606 0.0000 0.0000 0.0000 3.8867" Properties=species:S:1:pos:R:3 pbc="T T T"
Hg 0.0000 0.0000 0.0000
Hg 3.7303 3.7303 0.0000
Te 1.2627 2.4676 1.9433
Te 2.4676 6.1979 1.9433
Te 4.9930 1.2627 1.9433
Te 6.1979 4.9930 1.9433
Pt 1.0016 4.7319 0.0000
Pt 2.7287 1.0016 0.0000
Pt 4.7319 6.4590 0.0000
Pt 6.4590 2.7287 0.0000
```

Calculated values
relative energy among the computed polymorphs	121.7	meV/atom
uncorrected formation energy	0.268	eV/f.u.

(10)
## HgTePt3 (PBE-GGA)

Data for crystalline HgTePt3 at its relaxed geometry.

```
5
Lattice="4.9836 0.0000 0.0000 0.0000 4.9836 0.0000 0.0000 0.0000 4.9836" Properties=species:S:1:pos:R:3 pbc="T T T"
Hg 0.0000 0.0000 0.0000
Te 2.4918 2.4918 2.4918
Pt 0.0000 2.4918 2.4918
Pt 2.4918 0.0000 2.4918
Pt 2.4918 2.4918 0.0000
```

Calculated values
relative energy among the computed polymorphs	0.0	meV/atom
uncorrected formation energy	3.645	eV/f.u.

(11)
## Hg4TePt (PBE-GGA)

Data for crystalline Hg4TePt at its relaxed geometry.

```
6
Lattice="0.0000 4.1472 4.1472 4.1472 0.0000 4.1472 4.1472 4.1472 0.0000" Properties=species:S:1:pos:R:3 pbc="T T T"
Hg 1.0338 1.0338 1.0338
Hg 3.1133 3.1133 1.0338
Hg 3.1133 1.0338 3.1133
Hg 1.0338 3.1133 3.1133
Te 4.1472 4.1472 4.1472
Pt 6.2207 6.2207 6.2207
```

Calculated values
uncorrected formation energy	3.202	eV/f.u.

(12)
## Hg2TePt2 (PBE-GGA)

Data for crystalline Hg2TePt2 at its relaxed geometry.

```
10
Lattice="8.3473 0.0000 0.0000 0.0000 8.3473 0.0000 0.0000 0.0000 2.9969" Properties=species:S:1:pos:R:3 pbc="T T T"
Hg 1.4157 2.7580 0.0000
Hg 2.7580 6.9316 0.0000
Hg 5.5893 1.4157 0.0000
Hg 6.9316 5.5893 0.0000
Te 0.0000 0.0000 0.0000
Te 4.1736 4.1736 0.0000
Pt 1.0397 5.2134 1.4985
Pt 3.1339 1.0397 1.4985
Pt 5.2134 7.3076 1.4985
Pt 7.3076 3.1339 1.4985
```

Calculated values
relative energy among the computed polymorphs	138.9	meV/atom
uncorrected formation energy	1.000	eV/f.u.

(13)
## HgTe8Pt4 (PBE-GGA)

Data for crystalline HgTe8Pt4 at its relaxed geometry.

```
13
Lattice="4.0367 2.3306 7.5335 -4.0367 2.3306 7.5335 0.0000 -4.6611 7.5335" Properties=species:S:1:pos:R:3 pbc="T T T"
Hg 0.0000 0.0000 0.0000
Te -2.0279 -1.1708 12.6901
Te 0.0000 0.0000 5.1565
Te 0.0000 -2.3417 9.9104
Te -2.0279 1.1708 9.9104
Te 2.0279 -1.1708 12.6901
Te 0.0000 2.3417 12.6901
Te 0.0000 0.0000 17.4440
Te 2.0279 1.1708 9.9104
Pt -4.0367 0.0000 11.3002
Pt -2.0183 1.1653 3.7667
Pt 2.0183 1.1653 3.7667
Pt 0.0000 0.0000 11.3002
```

Calculated values
uncorrected formation energy	-4.418	eV/f.u.

(14)
## HgTe3Pt3 (PBE-GGA)

Data for crystalline HgTe3Pt3 at its relaxed geometry.

```
14
Lattice="4.2933 -8.0464 0.0000 4.2933 8.0464 0.0000 0.0000 0.0000 5.1475" Properties=species:S:1:pos:R:3 pbc="T T T"
Hg 4.2933 5.3052 3.8606
Hg 4.2933 -5.3052 1.2869
Te 1.8912 1.1294 3.8606
Te 4.2933 3.4606 1.2869
Te 1.8912 -1.1294 1.2869
Te 6.6954 1.1294 3.8606
Te 4.2933 -3.4606 3.8606
Te 6.6954 -1.1294 1.2869
Pt 2.6349 1.4414 1.2869
Pt 4.2933 2.2647 3.8606
Pt 2.6349 -1.4414 3.8606
Pt 5.9516 1.4414 1.2869
Pt 4.2933 -2.2647 1.2869
Pt 5.9516 -1.4414 3.8606
```

Calculated values
uncorrected formation energy	-0.868	eV/f.u.